1.
{"formula": "Er3GaTe2", "functional": "PBE-GGA", "state": "relaxed", "cell": [[2.995, -7.028, 0.000], [2.995, 7.028, 0.000], [0.000, 0.000, 4.488]], "species": ["Er", "Er", "Er", "Ga", "Te", "Te"], "frac_coords": [[0.000, 0.000, 0.000], [0.374, 0.626, 0.500], [0.626, 0.374, 0.500], [0.500, 0.500, 0.000], [0.153, 0.847, 0.500], [0.847, 0.153, 0.500]], "dos_ef_per_ev_fu": 1.0, "e_form_raw_mev_per_atom": -957, "mass_density_g_cm3": 7.3, "e_above_lowest_polymorph_ev_per_atom": 0.105}

2.
{"formula": "Er2GaTe", "functional": "PBE-GGA", "state": "relaxed", "cell": [[2.002, 1.156, 7.902], [-2.002, 1.156, 7.902], [0.000, -2.312, 7.902]], "species": ["Er", "Er", "Ga", "Te"], "frac_coords": [[0.000, 0.000, 0.000], [0.161, 0.161, 0.161], [0.413, 0.413, 0.413], [0.582, 0.582, 0.582]], "dos_ef_per_ev_fu": 2.4, "e_form_raw_mev_per_atom": -761, "mass_density_g_cm3": 8.0, "e_above_lowest_polymorph_ev_per_atom": 0.221}

3.
{"formula": "Er3GaTe4", "functional": "PBE-GGA", "state": "relaxed", "cell": [[6.120, 0.000, 0.000], [0.000, 9.721, 0.000], [0.000, 0.000, 9.114]], "species": ["Er", "Er", "Er", "Er", "Er", "Er", "Ga", "Ga", "Te", "Te", "Te", "Te", "Te", "Te", "Te", "Te"], "frac_coords": [[0.250, 0.054, 0.156], [0.250, 0.250, 0.769], [0.250, 0.446, 0.156], [0.750, 0.554, 0.844], [0.750, 0.750, 0.231], [0.750, 0.946, 0.844], [0.250, 0.750, 0.585], [0.750, 0.250, 0.415], [0.250, 0.250, 0.420], [0.250, 0.550, 0.841], [0.250, 0.750, 0.246], [0.250, 0.950, 0.841], [0.750, 0.050, 0.159], [0.750, 0.250, 0.754], [0.750, 0.450, 0.159], [0.750, 0.750, 0.580]], "dos_ef_per_ev_fu": 3.7, "e_form_raw_mev_per_atom": -905, "mass_density_g_cm3": 6.6}

4.
{"formula": "ErTl2GaTe4", "functional": "PBE-GGA", "state": "relaxed", "cell": [[-4.442, 4.505, 6.491], [4.442, -4.505, 6.491], [4.442, 4.505, -6.491]], "species": ["Er", "Er", "Tl", "Tl", "Tl", "Tl", "Ga", "Ga", "Te", "Te", "Te", "Te", "Te", "Te", "Te", "Te"], "frac_coords": [[0.500, 0.000, 0.000], [0.500, 0.500, 0.500], [0.000, 0.000, 0.000], [0.000, 0.000, 0.500], [0.000, 0.500, 0.000], [0.500, 0.000, 0.500], [0.000, 0.500, 0.500], [0.500, 0.500, 0.000], [0.256, 0.736, 0.520], [0.261, 0.290, 0.529], [0.261, 0.732, 0.971], [0.284, 0.264, 0.020], [0.716, 0.736, 0.980], [0.739, 0.268, 0.029], [0.739, 0.710, 0.471], [0.744, 0.264, 0.480]], "dos_ef_per_ev_fu": 3.8, "e_form_raw_mev_per_atom": -567, "mass_density_g_cm3": 7.4}

5.
{"formula": "Er3Tl3GaTe8", "functional": "PBE-GGA", "state": "relaxed", "cell": [[7.524, -4.338, 0.000], [7.524, 4.338, 0.000], [-5.020, 0.000, 8.180]], "species": ["Er", "Er", "Er", "Tl", "Tl", "Tl", "Ga", "Te", "Te", "Te", "Te", "Te", "Te", "Te", "Te"], "frac_coords": [[0.000, 0.000, 0.000], [0.000, 0.500, 0.000], [0.500, 0.000, 0.000], [0.000, 0.500, 0.500], [0.500, 0.000, 0.500], [0.500, 0.500, 0.500], [0.500, 0.500, 0.000], [0.238, 0.238, 0.215], [0.249, 0.727, 0.203], [0.273, 0.273, 0.797], [0.273, 0.751, 0.797], [0.727, 0.249, 0.203], [0.727, 0.727, 0.203], [0.751, 0.273, 0.797], [0.762, 0.762, 0.785]], "dos_ef_per_ev_fu": 7.0, "e_form_raw_mev_per_atom": -793, "mass_density_g_cm3": 6.9}

6.
{"formula": "Er4TlGaTe2", "functional": "PBE-GGA", "state": "relaxed", "cell": [[7.144, 0.000, 0.000], [0.000, 4.120, 0.000], [-2.379, 0.000, 7.607]], "species": ["Er", "Er", "Er", "Er", "Tl", "Ga", "Te", "Te"], "frac_coords": [[0.238, 0.000, 0.238], [0.243, 0.500, 0.755], [0.757, 0.500, 0.245], [0.762, 0.000, 0.762], [0.500, 0.000, 0.000], [0.000, 0.500, 0.000], [0.000, 0.000, 0.500], [0.500, 0.500, 0.500]], "dos_ef_per_ev_fu": 4.1, "e_form_raw_mev_per_atom": -820, "mass_density_g_cm3": 8.9}

7.
{"formula": "Er2ThGa", "functional": "PBE-GGA", "state": "relaxed", "cell": [[1.779, 1.027, 10.105], [-1.779, 1.027, 10.105], [0.000, -2.054, 10.105]], "species": ["Er", "Er", "Th", "Ga"], "frac_coords": [[0.239, 0.239, 0.239], [0.761, 0.761, 0.761], [0.000, 0.000, 0.000], [0.500, 0.500, 0.500]], "dos_ef_per_ev_fu": 4.4, "mass_density_g_cm3": 9.5, "e_above_lowest_polymorph_ev_per_atom": 0.093}

8.
{"formula": "ErThGa2", "functional": "PBE-GGA", "state": "relaxed", "cell": [[1.842, 1.063, 8.792], [-1.842, 1.063, 8.792], [0.000, -2.127, 8.792]], "species": ["Er", "Th", "Ga", "Ga"], "frac_coords": [[0.000, 0.000, 0.000], [0.500, 0.500, 0.500], [0.254, 0.254, 0.254], [0.746, 0.746, 0.746]], "dos_ef_per_ev_fu": 3.7, "mass_density_g_cm3": 8.7, "e_above_lowest_polymorph_ev_per_atom": 0.242}